--- w ---
Entry from Alexandria: an optimized crystal structure of Zn3GaRe (PBE).

abc: 4.5888 4.5888 4.5888
angles: 90.00 90.00 90.00
Last column: nearest neighbours and their distance in Å.
Sites, in units of the cell vectors:
Zn  0.0000  0.0000  0.5000  2 Ga 2.29
Ga  0.0000  0.0000  0.0000  6 Zn 2.29
Re  0.5000  0.5000  0.5000  12 Zn 3.24
Zn  0.5000  0.0000  0.0000  2 Ga 2.29
Zn  0.0000  0.5000  0.0000  2 Ga 2.29

=====

--- x ---
Entry from Alexandria: an optimized crystal structure of Zn3GaRe (PBE).

abc: 4.8842 4.8842 4.8842
angles: 90.00 90.00 90.00
Last column: nearest neighbours and their distance in Å.
Sites, in units of the cell vectors:
Ga  0.5000  0.5000  0.5000  12 Zn 3.45
Zn  0.0000  0.0000  0.5000  2 Re 2.44
Zn  0.0000  0.5000  0.0000  2 Re 2.44
Re  0.0000  0.0000  0.0000  6 Zn 2.44
Zn  0.5000  0.0000  0.0000  2 Re 2.44

=====

Most stable one: x, least stable one: w.

=====

--- w ---
Entry from Alexandria: an optimized crystal structure of ZnGaRe2 (PBE).

abc: 4.3310 4.3310 4.3310
angles: 60.00 60.00 60.00
Last column: nearest neighbours and their distance in Å.
Sites, in units of the cell vectors:
Re  0.2500  0.2500  0.2500  4 Zn 2.65, 4 Ga 2.65
Re  0.7500  0.7500  0.7500  4 Zn 2.65, 4 Ga 2.65
Ga  0.5000  0.5000  0.5000  8 Re 2.65
Zn  0.0000  0.0000  0.0000  8 Re 2.65

=====

--- x ---
Entry from Alexandria: an optimized crystal structure of ZnGaRe2 (PBE).

abc: 7.0102 7.0102 5.6002
angles: 51.25 51.25 90.00
Last column: nearest neighbours and their distance in Å.
Sites, in units of the cell vectors:
Zn  0.5000  0.5000  0.0000  2 Ga 2.61, 4 Re 2.65
Ga  0.7500  0.2500  0.5000  4 Re 2.48, 2 Zn 2.61
Re  0.8750  0.8926  0.7500  2 Ga 2.48, 2 Re 2.62, 2 Zn 2.65
Re  0.6426  0.1250  0.2500  2 Ga 2.48, 2 Re 2.62, 2 Zn 2.65
Ga  0.0000  0.0000  0.0000  4 Re 2.48, 2 Zn 2.61
Re  0.3750  0.3574  0.7500  2 Ga 2.48, 2 Re 2.62, 2 Zn 2.65
Re  0.1074  0.6250  0.2500  2 Ga 2.48, 2 Re 2.62, 2 Zn 2.65
Zn  0.2500  0.7500  0.5000  2 Ga 2.61, 4 Re 2.65

=====

Most stable one: w, least stable one: x.

=====

--- w ---
Entry from Alexandria: an optimized crystal structure of ZrGaRe3 (PBE).

abc: 4.5424 4.5424 4.5424
angles: 90.00 90.00 90.00
Last column: nearest neighbours and their distance in Å.
Sites, in units of the cell vectors:
Re  0.0000  0.5000  0.0000  2 Ga 2.27
Ga  0.0000  0.0000  0.0000  6 Re 2.27
Re  0.5000  0.0000  0.0000  2 Ga 2.27
Re  0.0000  0.0000  0.5000  2 Ga 2.27
Zr  0.5000  0.5000  0.5000  12 Re 3.21

=====

--- x ---
Entry from Alexandria: an optimized crystal structure of ZrGaRe3 (PBE).

abc: 4.8374 4.8374 4.8374
angles: 90.00 90.00 90.00
Last column: nearest neighbours and their distance in Å.
Sites, in units of the cell vectors:
Zr  0.0000  0.0000  0.0000  6 Re 2.42
Ga  0.5000  0.5000  0.5000  12 Re 3.42
Re  0.0000  0.5000  0.0000  2 Zr 2.42
Re  0.5000  0.0000  0.0000  2 Zr 2.42
Re  0.0000  0.0000  0.5000  2 Zr 2.42

=====

Most stable one: w, least stable one: x.

=====

--- w ---
Entry from Alexandria: an optimized crystal structure of GaRh4 (PBE).

abc: 4.4874 4.4874 4.4874
angles: 90.00 90.00 90.00
Last column: nearest neighbours and their distance in Å.
Sites, in units of the cell vectors:
Rh  0.0000  0.5000  0.5000  2 Ga 2.24
Rh  0.5000  0.5000  0.0000  2 Ga 2.24
Ga  0.5000  0.5000  0.5000  6 Rh 2.24
Rh  0.5000  0.0000  0.5000  2 Ga 2.24
Rh  0.0000  0.0000  0.0000  12 Rh 3.17

=====

--- x ---
Entry from Alexandria: an optimized crystal structure of GaRh4 (PBE).

abc: 4.8084 5.0514 4.8084
angles: 118.42 90.00 118.42
Last column: nearest neighbours and their distance in Å.
Sites, in units of the cell vectors:
Ga  0.0000  0.0000  0.0000  2 Rh 2.55
Rh  0.7500  0.5000  0.2500  4 Rh 2.50
Rh  0.6589  0.3177  0.6589  5 Rh 2.37-2.50, 1 Ga 2.55
Rh  0.3411  0.6823  0.3411  5 Rh 2.37-2.50, 1 Ga 2.55
Rh  0.2500  0.5000  0.7500  4 Rh 2.50

=====

Most stable one: x, least stable one: w.

=====

--- w ---
Entry from Alexandria: an optimized crystal structure of Ga2RuRh2 (PBE).

abc: 3.7251 3.7251 6.2799
angles: 72.75 72.75 90.00
Last column: nearest neighbours and their distance in Å.
Sites, in units of the cell vectors:
Rh  0.7500  0.2500  0.5000  4 Ga 2.49, 4 Rh 2.63
Ga  0.3946  0.3946  0.2107  1 Ga 2.40, 4 Rh 2.49
Ga  0.6054  0.6054  0.7893  1 Ga 2.40, 4 Rh 2.49
Ru  0.0000  0.0000  0.0000  8 Ga 2.90
Rh  0.2500  0.7500  0.5000  4 Ga 2.49, 4 Rh 2.63

=====

--- x ---
Entry from Alexandria: an optimized crystal structure of Ga2RuRh2 (PBE).

abc: 7.1102 7.1102 2.8535
angles: 90.00 90.00 90.00
Last column: nearest neighbours and their distance in Å.
Sites, in units of the cell vectors:
Ru  0.5000  0.5000  0.0000  4 Ga 2.74, 2 Ru 2.85, 8 Rh 3.03
Rh  0.8407  0.3407  0.5000  6 Ga 2.47-2.57
Rh  0.6593  0.8407  0.5000  6 Ga 2.47-2.57
Rh  0.3407  0.1593  0.5000  6 Ga 2.47-2.57
Ga  0.6407  0.1407  0.0000  6 Rh 2.47-2.57, 2 Ru 2.74
Ga  0.8593  0.6407  0.0000  6 Rh 2.47-2.57, 2 Ru 2.74
Ru  0.0000  0.0000  0.0000  4 Ga 2.74, 2 Ru 2.85, 8 Rh 3.03
Ga  0.3593  0.8593  0.0000  6 Rh 2.47-2.57, 2 Ru 2.74
Ga  0.1407  0.3593  0.0000  6 Rh 2.47-2.57, 2 Ru 2.74
Rh  0.1593  0.6593  0.5000  6 Ga 2.47-2.57

=====

Most stable one: x, least stable one: w.

=====

--- w ---
Entry from Alexandria: an optimized crystal structure of GaRu3Rh (PBE).

abc: 4.6742 4.6742 4.6742
angles: 90.00 90.00 90.00
Last column: nearest neighbours and their distance in Å.
Sites, in units of the cell vectors:
Ga  0.5000  0.5000  0.5000  12 Ru 3.31
Rh  0.0000  0.0000  0.0000  6 Ru 2.34
Ru  0.5000  0.0000  0.0000  2 Rh 2.34
Ru  0.0000  0.0000  0.5000  2 Rh 2.34
Ru  0.0000  0.5000  0.0000  2 Rh 2.34

=====

--- x ---
Entry from Alexandria: an optimized crystal structure of GaRu3Rh (PBE).

abc: 4.4396 4.4396 4.4396
angles: 90.00 90.00 90.00
Last column: nearest neighbours and their distance in Å.
Sites, in units of the cell vectors:
Ru  0.0000  0.0000  0.5000  2 Ga 2.22
Ru  0.0000  0.5000  0.0000  2 Ga 2.22
Ru  0.5000  0.0000  0.0000  2 Ga 2.22
Rh  0.5000  0.5000  0.5000  12 Ru 3.14
Ga  0.0000  0.0000  0.0000  6 Ru 2.22

=====

Most stable one: x, least stable one: w.

=====

--- w ---
Entry from Alexandria: an optimized crystal structure of Ga3RhS (PBE).

abc: 4.7675 4.7675 4.7675
angles: 90.00 90.00 90.00
Last column: nearest neighbours and their distance in Å.
Sites, in units of the cell vectors:
Ga  0.0000  0.5000  0.0000  2 Rh 2.38
Ga  0.0000  0.0000  0.5000  2 Rh 2.38
S  0.5000  0.5000  0.5000  12 Ga 3.37
Rh  0.0000  0.0000  0.0000  6 Ga 2.38
Ga  0.5000  0.0000  0.0000  2 Rh 2.38

=====

--- x ---
Entry from Alexandria: an optimized crystal structure of Ga3RhS (PBE).

abc: 4.6569 4.6569 4.6569
angles: 90.00 90.00 90.00
Last column: nearest neighbours and their distance in Å.
Sites, in units of the cell vectors:
Ga  0.5000  0.0000  0.0000  2 S 2.33
Rh  0.5000  0.5000  0.5000  12 Ga 3.29
Ga  0.0000  0.5000  0.0000  2 S 2.33
S  0.0000  0.0000  0.0000  6 Ga 2.33
Ga  0.0000  0.0000  0.5000  2 S 2.33

=====

Most stable one: w, least stable one: x.

=====

--- w ---
Entry from Alexandria: an optimized crystal structure of GaSbRh2 (PBE).

abc: 4.4933 4.4933 4.4933
angles: 60.00 60.00 60.00
Last column: nearest neighbours and their distance in Å.
Sites, in units of the cell vectors:
Rh  0.2500  0.2500  0.2500  4 Sb 2.75, 4 Ga 2.75
Ga  0.0000  0.0000  0.0000  8 Rh 2.75
Rh  0.7500  0.7500  0.7500  4 Sb 2.75, 4 Ga 2.75
Sb  0.5000  0.5000  0.5000  8 Rh 2.75

=====

--- x ---
Entry from Alexandria: an optimized crystal structure of GaSbRh2 (PBE).

abc: 5.6992 5.6992 7.0097
angles: 66.01 66.01 90.00
Last column: nearest neighbours and their distance in Å.
Sites, in units of the cell vectors:
Sb  0.0000  0.0000  0.0000  4 Rh 2.54
Rh  0.8750  0.8553  0.7500  2 Ga 2.41, 2 Sb 2.54
Ga  0.2500  0.7500  0.5000  4 Rh 2.41
Ga  0.5000  0.5000  0.0000  4 Rh 2.41
Rh  0.3750  0.3947  0.7500  2 Ga 2.41, 2 Sb 2.54
Rh  0.6053  0.1250  0.2500  2 Ga 2.41, 2 Sb 2.54
Sb  0.7500  0.2500  0.5000  4 Rh 2.54
Rh  0.1447  0.6250  0.2500  2 Ga 2.41, 2 Sb 2.54

=====

Most stable one: w, least stable one: x.